No. 1
This record from the Alexandria database describes a relaxed structure of TiCu. The functional is PBE.

Summary:
Energy of formation (eV/atom): 1.198
N(E_F) (states/eV per cell): 10.785
Symmetry: I-43m (217)
Theoretical density (Mg/m³): 3.1
Crystal system: cubic
Uncorrected energy (eV per atom): -4.797

a b c (Å): 6.768 6.768 6.768
angles (deg): 109.47 109.47 109.47
Fractional positions:
1 Ti 0.000 0.000 0.752
2 Ti 0.000 0.752 0.000
3 Ti 0.248 0.248 0.248
4 Ti 0.752 0.000 0.000
5 Cu 0.000 0.000 0.376
6 Cu 0.000 0.376 0.000
7 Cu 0.376 0.000 0.000
8 Cu 0.624 0.624 0.624


No. 2
This record from the Alexandria database describes a relaxed structure of TiCu. The functional is PBE.

Summary:
Energy of formation (eV/atom): -0.055
N(E_F) (states/eV per cell): 1.211
Symmetry: Pm-3m (221)
Theoretical density (Mg/m³): 6.3
Crystal system: cubic
Uncorrected energy (eV per atom): -6.050

a b c (Å): 3.084 3.084 3.084
angles (deg): 90.00 90.00 90.00
Fractional positions:
1 Ti 0.000 0.000 0.000
2 Cu 0.500 0.500 0.500


No. 3
This record from the Alexandria database describes a relaxed structure of TiCu2. The functional is PBE.

Summary:
Energy of formation (eV/atom): -0.107
N(E_F) (states/eV per cell): 2.636
Symmetry: Cmcm (63)
Theoretical density (Mg/m³): 7.2
Crystal system: orthorhombic
Uncorrected energy (eV per atom): -5.469

a b c (Å): 4.607 4.607 4.427
angles (deg): 90.00 90.00 59.42
Fractional positions:
1 Ti 0.209 0.791 0.750
2 Ti 0.791 0.209 0.250
3 Cu 0.135 0.521 0.250
4 Cu 0.479 0.865 0.250
5 Cu 0.521 0.135 0.750
6 Cu 0.865 0.479 0.750


No. 4
This record from the Alexandria database describes a relaxed structure of Ti3Cu4. The functional is PBE.

Summary:
Energy of formation (eV/atom): -0.129
N(E_F) (states/eV per cell): 4.145
Symmetry: I4/mmm (139)
Theoretical density (Mg/m³): 6.7
Crystal system: tetragonal
Uncorrected energy (eV per atom): -5.854

a b c (Å): 10.220 10.220 10.220
angles (deg): 162.33 162.33 25.09
Fractional positions:
1 Ti 0.000 0.000 0.000
2 Ti 0.292 0.292 0.000
3 Ti 0.708 0.708 0.000
4 Cu 0.135 0.135 0.000
5 Cu 0.430 0.430 0.000
6 Cu 0.570 0.570 0.000
7 Cu 0.865 0.865 0.000